Material: GdErCl
Method: DFT, PBE-GGA
State: optimized geometry

abc: 3.6662 3.6662 6.9793
angles: 90.00 90.00 120.00
Space group P3m1 (No. 156)
Unique sites:
Gd 0.0000 0.0000 0.0000 [1 per cell]
Er 0.3333 0.6667 0.6205 [1 per cell]
Cl 0.6667 0.3333 0.3169 [1 per cell]

volume = 27.08 A^3/atom
E = -23.2 eV per cell
uncorrected formation energy = -905 meV/atom